Record 1
{
  "formula": "PIr2AuS",
  "functional": "PBE",
  "state": "optimized geometry",
  "dft_energy_ev_per_cell": -26.32,
  "spacegroup": "P4/mmm (123)",
  "lattice_angstrom": [[4.415, 0.000, 0.000], [0.000, 4.415, 0.000], [0.000, 0.000, 4.595]],
  "species": ["P", "Ir", "Ir", "Au", "S"],
  "frac_coords": [[0.000, 0.000, 0.000], [0.000, 0.500, 0.000], [0.500, 0.000, 0.000], [0.500, 0.500, 0.500], [0.000, 0.000, 0.500]]
}

Record 2
{
  "formula": "CrRhSe2",
  "functional": "PBE",
  "state": "optimized geometry",
  "dft_energy_ev_per_cell": -25.13,
  "spacegroup": "P4mm (99)",
  "lattice_angstrom": [[3.420, 0.000, 0.000], [0.000, 3.420, 0.000], [0.000, 0.000, 6.512]],
  "species": ["Cr", "Rh", "Se", "Se"],
  "frac_coords": [[0.000, 0.000, 0.000], [0.500, 0.500, 0.245], [0.000, 0.000, 0.380], [0.500, 0.500, 0.861]]
}

Listing total moment for the structures above in their given order: 0.000; 0.668 μB/atom.